First-principles (GGA-PBE) data for a relaxed Ca2InNi crystal, as listed in Alexandria.

* mass density: 3.93 Mg/m³
* V: 26.83 Å³ per atom
* space group: Amm2 (38)
* ΔE_f: -210 meV per atom
* total magnetization: 0.00 μB per formula unit
* DFT total energy: -13.362 eV per cell

Unit cell a=4.397 b=4.311 c=6.057 alpha=69.14 beta=90.00 gamma=90.00
Fractional positions:
1 Ca 0.000 0.980 0.915
2 Ca 0.500 0.273 0.329
3 In 0.000 0.685 0.504
4 Ni 0.500 0.562 0.752